(1)
The following is a DFT calculation (GGA-PBE) of crystalline SiBSe2N at its relaxed geometry.

Structure (POSCAR):
```
SiBSe2N
1.0
5.105 0.000 0.000
0.000 5.105 0.000
0.000 0.000 3.232
N B Se Si
1 1 2 1
direct
0.000 0.000 0.500
0.500 0.500 0.500
0.500 0.000 0.000
0.000 0.500 0.000
0.000 0.000 0.000
```

Calculated volume   16.85 Å³ per atom
Space group   P4/mmm (123)
ΔE_f (raw)   1.03 eV/atom

(2)
The following is a DFT calculation (GGA-PBE) of crystalline MnAgPAu2 at its relaxed geometry.

Structure (POSCAR):
```
MnAgPAu2
1.0
4.994 0.000 0.000
0.000 4.219 0.000
0.000 0.000 4.994
Au Mn Ag P
2 1 1 1
direct
0.000 0.000 0.500
0.500 0.000 0.000
0.000 0.000 0.000
0.500 0.500 0.500
0.000 0.500 0.000
```

Calculated volume   21.04 Å³ per atom
Space group   P4/mmm (123)
Energy of formation from the pure elements   0.50 eV per atom

Number 1: density of states at the Fermi level 2.4 states/eV/f.u.. Number 2: density of states at the Fermi level 2.0 states/eV/f.u..